Entry 1:
VASP calculation (PBE-GGA) on a relaxed LiCaW2 crystal.

a b c (Å): 10.6015 10.6015 10.6015
angles (deg): 15.38 15.38 15.38
Positions (direct):
Li 0.0000 0.0000 0.0000
Ca 0.5000 0.5000 0.5000
W 0.2541 0.2541 0.2541
W 0.7459 0.7459 0.7459

## Properties
**Distance to the lowest polymorph of the same formula**: 388.7 meV/atom
**DFT formation energy**: 0.906 eV per atom
**Spin magnetization**: 0.000 μB per atom

---

Entry 2:
VASP calculation (PBE-GGA) on a relaxed Fe3H3Au crystal.

a b c (Å): 4.9903 4.9903 4.9903
angles (deg): 90.00 90.00 90.00
Positions (direct):
Fe 0.0000 0.2500 0.5000
Fe 0.0000 0.7500 0.5000
Fe 0.2500 0.5000 0.0000
Fe 0.5000 0.0000 0.2500
Fe 0.5000 0.0000 0.7500
Fe 0.7500 0.5000 0.0000
H 0.0000 0.5000 0.2500
H 0.0000 0.5000 0.7500
H 0.2500 0.0000 0.5000
H 0.5000 0.2500 0.0000
H 0.5000 0.7500 0.0000
H 0.7500 0.0000 0.5000
Au 0.0000 0.0000 0.0000
Au 0.5000 0.5000 0.5000

## Properties
**Uncorrected energy**: -0.4000 Ry per atom
**Spin magnetization**: 1.109 μB per atom

---

Entry 3:
VASP calculation (PBE-GGA) on a relaxed Er2CdCu crystal.

a b c (Å): 5.0727 5.0727 5.0727
angles (deg): 60.00 60.00 60.00
Positions (direct):
Er 0.2500 0.2500 0.2500
Er 0.7500 0.7500 0.7500
Cd 0.0000 0.0000 0.0000
Cu 0.5000 0.5000 0.5000

## Properties
**Distance to the lowest polymorph of the same formula**: 50.1 meV/atom
**DFT formation energy**: -0.239 eV per atom
**Spin magnetization**: 0.000 μB per atom

---

Entry 4:
VASP calculation (PBE-GGA) on a relaxed La3Dy crystal.

a b c (Å): 3.7227 5.9834 6.4095
angles (deg): 90.00 90.00 90.00
Positions (direct):
La 0.0000 0.0000 0.0000
La 0.0000 0.5000 0.3349
La 0.5000 0.5000 0.8343
Dy 0.5000 0.0000 0.5036

## Properties
**Distance to the lowest polymorph of the same formula**: 26.4 meV/atom
**DFT formation energy**: 0.034 eV per atom
**Spin magnetization**: 0.000 μB per atom

---

Entry 5:
VASP calculation (PBE-GGA) on a relaxed Mg3TlSb crystal.

a b c (Å): 5.4691 5.4691 5.4691
angles (deg): 90.00 90.00 90.00
Positions (direct):
Mg 0.0000 0.0000 0.5000
Mg 0.0000 0.5000 0.0000
Mg 0.5000 0.0000 0.0000
Tl 0.5000 0.5000 0.5000
Sb 0.0000 0.0000 0.0000

## Properties
**Formation energy without anion corrections**: 0.25 eV per atom
**Distance to the lowest polymorph of the same formula**: 0.0 meV/atom
**Spin magnetization**: 0.000 μB per atom

---

Entry 6:
VASP calculation (PBE-GGA) on a relaxed Ce2OsF crystal.

a b c (Å): 8.6824 8.6824 8.6824
angles (deg): 21.10 21.10 21.10
Positions (direct):
Ce 0.2452 0.2452 0.2452
Ce 0.7548 0.7548 0.7548
Os 0.0000 0.0000 0.0000
F 0.5000 0.5000 0.5000

## Properties
**Formation energy without anion corrections**: -1.00 eV per atom
**Distance to the lowest polymorph of the same formula**: 185.2 meV/atom
**Spin magnetization**: 0.000 μB per atom